1.
Computed, not measured: SbPt2Br after structural relaxation at the PBEsol level of DFT.

- Density of states at the Fermi level: 3.94 states/eV/cell
- Uncorrected formation energy: 0.371 eV/atom
- ρ: 13.07 g/cm3

Lattice parameters (Å, degrees): 3.8955 3.8955 9.9115 90.00 90.00 90.00
Space group I-4m2 (No. 119)
One atom of each set of equivalent atoms:
Sb (0.0000, 0.0000, 0.0000) [2 per cell]
Pt (0.0000, 0.0000, 0.5000) [2 per cell]
Pt (0.0000, 0.5000, 0.7500) [2 per cell]
Br (0.0000, 0.5000, 0.2500) [2 per cell]

2.
Computed, not measured: NiRh2Au after structural relaxation at the PBEsol level of DFT.

- Density of states at the Fermi level: 6.64 states/eV/cell
- Polymorph energy (0 for the lowest one): 89 meV/atom
- ΔE_f: 4.2 kcal/mol of atoms
- ρ: 14.07 g/cm3

Lattice parameters (Å, degrees): 3.7738 3.7738 3.8252 90.00 90.00 90.00
Space group P4/mmm (No. 123)
One atom of each set of equivalent atoms:
Ni (0.0000, 0.0000, 0.0000) [1 per cell]
Rh (0.0000, 0.5000, 0.5000) [2 per cell]
Au (0.5000, 0.5000, 0.0000) [1 per cell]

3.
Computed, not measured: AlCl3O after structural relaxation at the PBEsol level of DFT.

- Density of states at the Fermi level: 1.98 states/eV/cell
- Uncorrected formation energy: 0.260 eV/atom
- ρ: 2.79 g/cm3

Lattice parameters (Å, degrees): 4.4622 4.4622 4.4622 90.00 90.00 90.00
Space group Pm-3m (No. 221)
One atom of each set of equivalent atoms:
Al (0.0000, 0.0000, 0.0000) [1 per cell]
Cl (0.0000, 0.5000, 0.5000) [3 per cell]
O (0.5000, 0.5000, 0.5000) [1 per cell]

4.
Computed, not measured: HoFeC2 after structural relaxation at the PBEsol level of DFT.

- Density of states at the Fermi level: 4.10 states/eV/cell
- ΔE_f: -8.1 kcal/mol of atoms
- ρ: 8.77 g/cm3

Lattice parameters (Å, degrees): 3.5426 4.4921 5.8240 90.00 90.00 90.00
Space group Amm2 (No. 38)
One atom of each set of equivalent atoms:
Ho (0.0000, 0.0000, 0.0000) [2 per cell]
Fe (0.5000, 0.0000, 0.6078) [2 per cell]
C (0.5000, 0.1568, 0.2932) [4 per cell]

5.
Computed, not measured: KTl3Ru after structural relaxation at the PBEsol level of DFT.

- Density of states at the Fermi level: 1.99 states/eV/cell
- ΔE_f: 2.0 kcal/mol of atoms
- ρ: 8.63 g/cm3

Lattice parameters (Å, degrees): 5.2538 5.2538 5.2538 90.00 90.00 90.00
Space group Pm-3m (No. 221)
One atom of each set of equivalent atoms:
K (0.0000, 0.0000, 0.0000) [1 per cell]
Tl (0.0000, 0.5000, 0.5000) [3 per cell]
Ru (0.5000, 0.5000, 0.5000) [1 per cell]

6.
Computed, not measured: Mn2TlAu after structural relaxation at the PBEsol level of DFT.

- Density of states at the Fermi level: 14.61 states/eV/cell
- Polymorph energy (0 for the lowest one): 8 meV/atom
- ΔE_f: 8.4 kcal/mol of atoms
- ρ: 12.68 g/cm3

Lattice parameters (Å, degrees): 6.4452 6.4452 6.4452 90.00 90.00 90.00
Space group Fm-3m (No. 225)
One atom of each set of equivalent atoms:
Mn (0.2500, 0.2500, 0.2500) [8 per cell]
Tl (0.0000, 0.0000, 0.0000) [4 per cell]
Au (0.0000, 0.0000, 0.5000) [4 per cell]

7.
Computed, not measured: CaSiF2 after structural relaxation at the PBEsol level of DFT.

- Density of states at the Fermi level: 0.38 states/eV/cell
- Uncorrected formation energy: -1.778 eV/atom
- ρ: 2.89 g/cm3

Lattice parameters (Å, degrees): 4.1113 4.1113 12.5007 90.00 90.00 120.00
Space group R-3m (No. 166, hexagonal axes)
One atom of each set of equivalent atoms:
Ca (0.0000, 0.0000, 0.0000) [3 per cell]
Si (0.0000, 0.0000, 0.5000) [3 per cell]
F (0.0000, 0.0000, 0.1819) [6 per cell]

8.
Computed, not measured: Cr2SiP after structural relaxation at the PBEsol level of DFT.

- Density of states at the Fermi level: 5.30 states/eV/cell
- Polymorph energy (0 for the lowest one): 0 meV/atom
- Uncorrected formation energy: -0.234 eV/atom
- ρ: 6.02 g/cm3

Lattice parameters (Å, degrees): 2.8032 2.8032 5.7216 90.00 90.00 90.00
Space group P4/mmm (No. 123)
One atom of each set of equivalent atoms:
Cr (0.0000, 0.0000, 0.2318) [2 per cell]
Si (0.5000, 0.5000, 0.5000) [1 per cell]
P (0.5000, 0.5000, 0.0000) [1 per cell]

9.
Computed, not measured: LiTa2Tl after structural relaxation at the PBEsol level of DFT.

- Density of states at the Fermi level: 6.10 states/eV/cell
- ΔE_f: 14.0 kcal/mol of atoms
- ρ: 12.45 g/cm3

Lattice parameters (Å, degrees): 3.1786 4.7329 10.1654 90.00 90.00 90.00
Space group Cmmm (No. 65)
One atom of each set of equivalent atoms:
Li (0.0000, 0.0000, 0.0000) [2 per cell]
Ta (0.0000, 0.5000, 0.2514) [4 per cell]
Tl (0.0000, 0.0000, 0.5000) [2 per cell]

10.
Computed, not measured: Li2TlHg after structural relaxation at the PBEsol level of DFT.

- Density of states at the Fermi level: 1.25 states/eV/cell
- ΔE_f: -7.9 kcal/mol of atoms
- ρ: 9.39 g/cm3

Lattice parameters (Å, degrees): 4.6187 4.6187 3.4738 90.00 90.00 90.00
Space group P4/mmm (No. 123)
One atom of each set of equivalent atoms:
Li (0.0000, 0.5000, 0.0000) [2 per cell]
Tl (0.0000, 0.0000, 0.5000) [1 per cell]
Hg (0.5000, 0.5000, 0.5000) [1 per cell]

11.
Computed, not measured: CaAuSe2 after structural relaxation at the PBEsol level of DFT.

- Density of states at the Fermi level: 0.78 states/eV/cell
- Polymorph energy (0 for the lowest one): 16 meV/atom
- Uncorrected formation energy: -0.889 eV/atom
- ρ: 6.96 g/cm3

Lattice parameters (Å, degrees): 3.9046 4.6684 5.3651 90.00 105.38 90.00
Space group Pm (No. 6)
One atom of each set of equivalent atoms:
Ca (0.0000, 0.0000, 0.0000) [1 per cell]
Au (0.5335, 0.5000, 0.5607) [1 per cell]
Se (0.3263, 0.0000, 0.5580) [1 per cell]
Se (0.5341, 0.5000, 0.0666) [1 per cell]

12.
Computed, not measured: YFeSe2 after structural relaxation at the PBEsol level of DFT.

- Density of states at the Fermi level: 21.94 states/eV/cell
- Uncorrected formation energy: -0.153 eV/atom
- ρ: 6.63 g/cm3

Lattice parameters (Å, degrees): 6.7196 6.7196 6.7196 90.00 90.00 90.00
Space group F-43m (No. 216)
One atom of each set of equivalent atoms:
Y (0.0000, 0.0000, 0.0000) [4 per cell]
Fe (0.2500, 0.2500, 0.2500) [4 per cell]
Se (0.0000, 0.0000, 0.5000) [4 per cell]
Se (0.2500, 0.2500, 0.7500) [4 per cell]

Q: What is the formula in the twelfth record?
A: YFeSe2